No. 1
Here is a geometry-optimized Sc2FeO structure from Alexandria via LeMat-Bulk. Energies are from PBE+U.

Unit cell a=6.2476 b=6.2476 c=5.9056 alpha=58.07 beta=58.07 gamma=90.00
Last column: nearest neighbours and their distance in Å.
Element x y z (fractional)
Fe1 0.7500 0.2500 0.5000  4 Sc 2.91
Fe2 0.0000 0.0000 0.0000  4 Sc 2.91
Sc1 0.2357 0.6250 0.2500  2 O 2.04
Sc2 0.5143 0.1250 0.2500  2 O 2.04
Sc3 0.8750 0.7643 0.7500  2 O 2.04
Sc4 0.3750 0.4857 0.7500  2 O 2.04
O1 0.5000 0.5000 0.0000  4 Sc 2.04
O2 0.2500 0.7500 0.5000  4 Sc 2.04

Values from the calculation:
- Energy: -6.85 eV per atom
- Crystal system: tetragonal


No. 2
Here is a geometry-optimized NiSbOsO structure from Alexandria via LeMat-Bulk. Energies are from PBE+U.

Unit cell a=2.9982 b=3.3732 c=6.6083 alpha=90.00 beta=102.99 gamma=90.00
Last column: nearest neighbours and their distance in Å.
Element x y z (fractional)
Sb1 0.5234 0.0000 0.9785  4 Ni 2.63, 1 Os 2.72
O1 0.8019 0.5000 0.5407  2 Os 1.91
Os1 0.7329 0.0000 0.4014  2 O 1.91
Ni1 0.1272 0.5000 0.1884  4 Sb 2.63, 4 Os 2.64, 2 O 2.72

Values from the calculation:
- Energy: -5.43 eV per atom
- Offset from the most stable computed form: 202.6 meV per atom
- Crystal system: monoclinic